(1)
A relaxed ZrTiW crystal, computed with PBE-GGA.

Cell lengths 5.403, 5.403, 5.403 Å; angles 91.02, 121.82, 117.06 degrees
Fractional coordinates of all 6 atoms:
Zr 0.250 0.126 0.876
Zr 0.750 0.874 0.124
Ti 0.000 0.500 0.500
Ti 0.500 0.000 0.500
W 0.500 0.500 0.500
W 0.000 0.500 0.000

Properties
ΔH_f (0 K) (eV per atom): -0.019
Raw total energy (eV per formula unit): -29.45
Size of the total moment (μB/f.u.): 0.00
Density of states at the Fermi level (states/eV/cell): 9.31
Excess energy over the best structure of this formula in the dataset (eV per atom): 0.0000

***

(2)
A relaxed Pd3PtSe crystal, computed with PBE-GGA.

Cell lengths 4.608, 4.608, 4.608 Å; angles 90.00, 90.00, 90.00 degrees
Fractional coordinates of all 5 atoms:
Se 0.000 0.000 0.000
Pd 0.000 0.500 0.000
Pd 0.000 0.000 0.500
Pd 0.500 0.000 0.000
Pt 0.500 0.500 0.500

Properties
Raw total energy (eV per formula unit): -22.77
Size of the total moment (μB/f.u.): 0.00
Density of states at the Fermi level (states/eV/cell): 7.49
Excess energy over the best structure of this formula in the dataset (eV per atom): 0.0000
Formation energy (no corrections) (eV/atom): 0.467